Density functional theory data (PBE) for a relaxed structure of Ni6Ge2C.

Output
**Total DFT energy (no corrections)**: -5.877 eV/atom
**Density**: 8.636 g/cm³
**M_tot**: 0.00 μB/cell

The structure in CIF format:
```
data_Ni6Ge2C
_cell_length_a 6.2671
_cell_length_b 6.2671
_cell_length_c 2.8799
_cell_angle_alpha 90.00
_cell_angle_beta 90.00
_cell_angle_gamma 120.00
_symmetry_space_group_name_H-M 'P 1'
_symmetry_Int_Tables_number 1
loop_
_symmetry_equiv_pos_as_xyz
'x,y,z'
loop_
_atom_site_label
_atom_site_type_symbol
_atom_site_fract_x
_atom_site_fract_y
_atom_site_fract_z
C1 C 0.0000 0.0000 0.0000
Ge1 Ge 0.6667 0.3333 0.5000
Ge2 Ge 0.3333 0.6667 0.5000
Ni1 Ni 0.6086 0.0000 0.0000
Ni2 Ni 0.3914 0.3914 0.0000
Ni3 Ni 0.0000 0.6086 0.0000
Ni4 Ni 0.2290 0.0000 0.5000
Ni5 Ni 0.0000 0.2290 0.5000
Ni6 Ni 0.7710 0.7710 0.5000
```

---

Density functional theory data (PBE) for a relaxed structure of Sc4NiGeC2.

Output
**Total DFT energy (no corrections)**: -7.233 eV/atom
**Density**: 4.365 g/cm³
**M_tot**: 0.05 μB/cell

The structure in CIF format:
```
data_Sc4NiGeC2
_cell_length_a 3.3190
_cell_length_b 3.3190
_cell_length_c 13.3663
_cell_angle_alpha 90.00
_cell_angle_beta 90.00
_cell_angle_gamma 120.00
_symmetry_space_group_name_H-M 'P 1'
_symmetry_Int_Tables_number 1
loop_
_symmetry_equiv_pos_as_xyz
'x,y,z'
loop_
_atom_site_label
_atom_site_type_symbol
_atom_site_fract_x
_atom_site_fract_y
_atom_site_fract_z
C1 C 0.3333 0.6667 0.2617
C2 C 0.3333 0.6667 0.7383
Ge1 Ge 0.0000 0.0000 0.0000
Ni1 Ni 0.6667 0.3333 0.5000
Sc1 Sc 0.6667 0.3333 0.1692
Sc2 Sc 0.0000 0.0000 0.3547
Sc3 Sc 0.0000 0.0000 0.6453
Sc4 Sc 0.6667 0.3333 0.8308
```

---

Density functional theory data (PBE) for a relaxed structure of Sc2SiNi2GeC.

Output
**Total DFT energy (no corrections)**: -6.720 eV/atom
**Density**: 5.310 g/cm³
**M_tot**: 0.00 μB/cell

The structure in CIF format:
```
data_Sc2SiNi2GeC
_cell_length_a 5.5930
_cell_length_b 5.5930
_cell_length_c 6.5144
_cell_angle_alpha 124.94
_cell_angle_beta 124.94
_cell_angle_gamma 38.13
_symmetry_space_group_name_H-M 'P 1'
_symmetry_Int_Tables_number 1
loop_
_symmetry_equiv_pos_as_xyz
'x,y,z'
loop_
_atom_site_label
_atom_site_type_symbol
_atom_site_fract_x
_atom_site_fract_y
_atom_site_fract_z
C1 C 0.0004 0.0004 0.9973
Ge1 Ge 0.1424 0.1424 0.6749
Ni1 Ni 0.2062 0.2062 0.1040
Ni2 Ni 0.8018 0.8018 0.9150
Sc1 Sc 0.5643 0.5643 0.2794
Sc2 Sc 0.4329 0.4329 0.7129
Si1 Si 0.8520 0.8520 0.3165
```

---

Density functional theory data (PBE) for a relaxed structure of Ta4NiGeC2.

Output
**Total DFT energy (no corrections)**: -9.913 eV/atom
**Density**: 13.136 g/cm³
**M_tot**: 0.00 μB/cell

The structure in CIF format:
```
data_Ta4NiGeC2
_cell_length_a 3.1562
_cell_length_b 3.1562
_cell_length_c 12.8821
_cell_angle_alpha 90.00
_cell_angle_beta 90.00
_cell_angle_gamma 120.00
_symmetry_space_group_name_H-M 'P 1'
_symmetry_Int_Tables_number 1
loop_
_symmetry_equiv_pos_as_xyz
'x,y,z'
loop_
_atom_site_label
_atom_site_type_symbol
_atom_site_fract_x
_atom_site_fract_y
_atom_site_fract_z
C1 C 0.0000 0.0000 0.2546
C2 C 0.0000 0.0000 0.7454
Ge1 Ge 0.3333 0.6667 0.0000
Ni1 Ni 0.6667 0.3333 0.5000
Ta1 Ta 0.6667 0.3333 0.1587
Ta2 Ta 0.3333 0.6667 0.3488
Ta3 Ta 0.3333 0.6667 0.6512
Ta4 Ta 0.6667 0.3333 0.8413
```

---

Density functional theory data (PBE) for a relaxed structure of YTmNi2Ge2C.

Output
**Total DFT energy (no corrections)**: -6.364 eV/atom
**Density**: 7.806 g/cm³
**M_tot**: 0.00 μB/cell

The structure in CIF format:
```
data_YTmNi2Ge2C
_cell_length_a 5.7912
_cell_length_b 5.7912
_cell_length_c 6.8019
_cell_angle_alpha 125.82
_cell_angle_beta 125.82
_cell_angle_gamma 39.34
_symmetry_space_group_name_H-M 'P 1'
_symmetry_Int_Tables_number 1
loop_
_symmetry_equiv_pos_as_xyz
'x,y,z'
loop_
_atom_site_label
_atom_site_type_symbol
_atom_site_fract_x
_atom_site_fract_y
_atom_site_fract_z
C1 C 0.0023 0.0023 0.9972
Ge1 Ge 0.8432 0.8432 0.3833
Ge2 Ge 0.1556 0.1556 0.6181
Ni1 Ni 0.1966 0.1966 0.3029
Ni2 Ni 0.8039 0.8039 0.6987
Tm1 Tm 0.5602 0.5602 0.8323
Y1 Y 0.4383 0.4383 0.1675
```

---

Density functional theory data (PBE) for a relaxed structure of NiGeW4C2.

Output
**Total DFT energy (no corrections)**: -9.860 eV/atom
**Density**: 14.126 g/cm³
**M_tot**: 0.00 μB/cell

The structure in CIF format:
```
data_NiGeW4C2
_cell_length_a 3.1032
_cell_length_b 3.1032
_cell_length_c 12.5558
_cell_angle_alpha 90.00
_cell_angle_beta 90.00
_cell_angle_gamma 120.00
_symmetry_space_group_name_H-M 'P 1'
_symmetry_Int_Tables_number 1
loop_
_symmetry_equiv_pos_as_xyz
'x,y,z'
loop_
_atom_site_label
_atom_site_type_symbol
_atom_site_fract_x
_atom_site_fract_y
_atom_site_fract_z
C1 C 0.0000 0.0000 0.2471
C2 C 0.0000 0.0000 0.7529
Ge1 Ge 0.3333 0.6667 0.5000
Ni1 Ni 0.6667 0.3333 0.0000
W1 W 0.3333 0.6667 0.1556
W2 W 0.6667 0.3333 0.3398
W3 W 0.6667 0.3333 0.6602
W4 W 0.3333 0.6667 0.8444
```